[1]
# Sm3Sb | Alexandria | PBE | optimized geometry
data_Sm3Sb
_chemical_formula_sum 'Sm3 Sb1'
_space_group_name_H-M_alt 'P m -3 m'
_space_group_IT_number 221
_space_group_name_Hall '-P 4 2 3'
_cell_length_a 4.8747
_cell_length_b 4.8747
_cell_length_c 4.8747
_cell_angle_alpha 90.00
_cell_angle_beta 90.00
_cell_angle_gamma 90.00
loop_
_atom_site_label
_atom_site_fract_x
_atom_site_fract_y
_atom_site_fract_z
Sm1 0.0000 0.0000 0.5000
Sb1 0.5000 0.5000 0.5000
# - distance to the lowest polymorph of the same formula (meV per atom) = 0.0
# - DOS at the Fermi energy (states/eV/atom) = 0.975
# - spin magnetization (μB per formula unit) = 0.00

***

[2]
# YTm2Mg9 | Alexandria | PBE | optimized geometry
data_YTm2Mg9
_chemical_formula_sum 'Y1 Tm2 Mg9'
_space_group_name_H-M_alt 'P 4/m m m'
_space_group_IT_number 123
_space_group_name_Hall '-P 4 2'
_cell_length_a 4.6455
_cell_length_b 4.6455
_cell_length_c 13.9190
_cell_angle_alpha 90.00
_cell_angle_beta 90.00
_cell_angle_gamma 90.00
loop_
_atom_site_label
_atom_site_fract_x
_atom_site_fract_y
_atom_site_fract_z
Y1 0.0000 0.0000 0.0000
Tm1 0.0000 0.0000 0.3342
Mg1 0.0000 0.5000 0.1683
Mg2 0.0000 0.5000 0.5000
Mg3 0.5000 0.5000 0.0000
Mg4 0.5000 0.5000 0.3342
# - ΔH_f (0 K) (eV per formula unit) = -0.67
# - DOS at the Fermi energy (states/eV/atom) = 0.784
# - spin magnetization (μB per formula unit) = 0.00

***

[3]
# RbTlSeN2 | Alexandria | PBE | optimized geometry
data_RbTlSeN2
_chemical_formula_sum 'Rb1 Tl1 Se1 N2'
_space_group_name_H-M_alt 'P 4/m m m'
_space_group_IT_number 123
_space_group_name_Hall '-P 4 2'
_cell_length_a 5.3406
_cell_length_b 5.3406
_cell_length_c 6.6511
_cell_angle_alpha 90.00
_cell_angle_beta 90.00
_cell_angle_gamma 90.00
loop_
_atom_site_label
_atom_site_fract_x
_atom_site_fract_y
_atom_site_fract_z
Rb1 0.0000 0.0000 0.0000
Tl1 0.5000 0.5000 0.5000
Se1 0.0000 0.0000 0.5000
N1 0.0000 0.5000 0.0000
# - distance to the lowest polymorph of the same formula (meV per atom) = 558.2
# - DOS at the Fermi energy (states/eV/atom) = 0.850
# - spin magnetization (μB per formula unit) = 6.02